Cs2PaZnS4 after structural relaxation, computed with PBE.

a b c (Å): 15.0608 13.4917 8.0329
angles (deg): 84.78 63.14 32.08
Fractional positions:
Cs: 0.0535 0.0535 0.6965
Cs: 0.3035 0.3035 0.9465
Cs: 0.6965 0.6965 0.0535
Cs: 0.9465 0.9465 0.3035
Pa: 0.1250 0.1250 0.1250
Pa: 0.8750 0.8750 0.8750
Zn: 0.3750 0.3750 0.3750
Zn: 0.6250 0.6250 0.6250
S: 0.9999 0.3495 0.4409
S: 0.0001 0.6505 0.5591
S: 0.2903 0.5591 0.6505
S: 0.3495 0.9999 0.7097
S: 0.4409 0.7097 0.9999
S: 0.5591 0.2903 0.0001
S: 0.6505 0.0001 0.2903
S: 0.7097 0.4409 0.3495

Calculated values
The crystal system is orthorhombic. The value obtained for the uncorrected formation energy is -1166 meV/atom. For the raw total energy, the calculation gives -4.789 eV per atom. As for the space-group type: Fddd, No. 70.

---

Cs2PaZnS5 after structural relaxation, computed with PBE.

a b c (Å): 10.5428 10.5428 14.3651
angles (deg): 90.00 90.00 157.58
Fractional positions:
Cs: 0.1202 0.8798 0.5000
Cs: 0.1274 0.8726 0.1364
Cs: 0.8726 0.1274 0.6364
Cs: 0.8798 0.1202 0.0000
Pa: 0.2033 0.7967 0.8345
Pa: 0.7967 0.2033 0.3345
Zn: 0.4237 0.5763 0.2571
Zn: 0.5763 0.4237 0.7571
S: 0.0732 0.9268 0.8460
S: 0.2958 0.7042 0.4539
S: 0.3090 0.6910 0.2101
S: 0.3236 0.6764 0.8210
S: 0.4879 0.5121 0.1312
S: 0.5121 0.4879 0.6312
S: 0.6764 0.3236 0.3210
S: 0.6910 0.3090 0.7101
S: 0.7042 0.2958 0.9539
S: 0.9268 0.0732 0.3460

Calculated values
The crystal system is orthorhombic. The value obtained for the uncorrected formation energy is -1155 meV/atom. For the raw total energy, the calculation gives -4.835 eV per atom. As for the space-group type: Cmc2_1, No. 36.

---

CsPaSb2 after structural relaxation, computed with PBE.

a b c (Å): 9.2467 9.2467 9.2467
angles (deg): 28.78 28.78 28.78
Fractional positions:
Cs: 0.0000 0.0000 0.0000
Pa: 0.5000 0.5000 0.5000
Sb: 0.2255 0.2255 0.2255
Sb: 0.7745 0.7745 0.7745

Calculated values
The crystal system is trigonal. The value obtained for the uncorrected formation energy is -449 meV/atom. For the raw total energy, the calculation gives -5.098 eV per atom. The energy above the lowest structure with this stoichiometry is 0.000 eV/atom. As for the space-group type: R-3m, No. 166.

---

CsPaSb2 after structural relaxation, computed with PBE.

a b c (Å): 3.9168 3.9168 9.1283
angles (deg): 90.00 90.00 90.00
Fractional positions:
Cs: 0.0000 0.0000 0.0000
Pa: 0.0000 0.0000 0.5000
Sb: 0.5000 0.5000 0.3163
Sb: 0.5000 0.5000 0.6837

Calculated values
The crystal system is tetragonal. The value obtained for the uncorrected formation energy is -382 meV/atom. For the raw total energy, the calculation gives -5.030 eV per atom. The energy above the lowest structure with this stoichiometry is 0.067 eV/atom. As for the space-group type: P4/mmm, No. 123.

---

Cs2PaSb2Se6 after structural relaxation, computed with PBE.

a b c (Å): 7.3617 7.3617 8.9133
angles (deg): 98.23 98.23 119.94
Fractional positions:
Cs: 0.1696 0.8304 0.0000
Cs: 0.8304 0.1696 0.0000
Pa: 0.0000 0.0000 0.5000
Sb: 0.3317 0.6683 0.5000
Sb: 0.6683 0.3317 0.5000
Se: 0.0624 0.3900 0.6817
Se: 0.2628 0.2628 0.3184
Se: 0.3900 0.0624 0.6817
Se: 0.6100 0.9376 0.3183
Se: 0.7372 0.7372 0.6816
Se: 0.9376 0.6100 0.3183

Calculated values
The crystal system is monoclinic. The value obtained for the uncorrected formation energy is -903 meV/atom. For the raw total energy, the calculation gives -4.572 eV per atom. As for the space-group type: C2/m, No. 12.

---

CsPaSbSe6 after structural relaxation, computed with PBE.

a b c (Å): 9.8681 9.8681 9.8681
angles (deg): 121.64 117.78 90.53
Fractional positions:
Cs: 0.3794 0.1294 0.2500
Cs: 0.6206 0.8706 0.7500
Pa: 0.0000 0.5000 0.5000
Pa: 0.5000 0.5000 0.0000
Sb: 0.0000 0.0000 0.5000
Sb: 0.0000 0.5000 0.0000
Se: 0.0757 0.4064 0.2330
Se: 0.0757 0.8427 0.6693
Se: 0.0861 0.8361 0.2500
Se: 0.3244 0.5744 0.7500
Se: 0.3266 0.1573 0.7330
Se: 0.3266 0.5936 0.1693
Se: 0.6734 0.4064 0.8307
Se: 0.6734 0.8427 0.2670
Se: 0.6756 0.4256 0.2500
Se: 0.9139 0.1639 0.7500
Se: 0.9243 0.1573 0.3307
Se: 0.9243 0.5936 0.7670

Calculated values
The crystal system is orthorhombic. The value obtained for the uncorrected formation energy is -631 meV/atom. For the raw total energy, the calculation gives -4.562 eV per atom. As for the space-group type: Imma, No. 74.

---

Cs2PaSbSe6 after structural relaxation, computed with PBE.

a b c (Å): 7.8714 7.8714 6.6920
angles (deg): 90.00 90.00 120.00
Fractional positions:
Cs: 0.3333 0.6667 0.2208
Cs: 0.6667 0.3333 0.7792
Pa: 0.0000 0.0000 0.5000
Sb: 0.0000 0.0000 0.0000
Se: 0.1609 0.3217 0.7613
Se: 0.1609 0.8391 0.7613
Se: 0.3217 0.1609 0.2387
Se: 0.6783 0.8391 0.7613
Se: 0.8391 0.1609 0.2387
Se: 0.8391 0.6783 0.2387

Calculated values
The crystal system is trigonal. The value obtained for the uncorrected formation energy is -950 meV/atom. For the raw total energy, the calculation gives -4.573 eV per atom. As for the space-group type: P-3m1, No. 164.

---

Cs3Pa3SbTe8 after structural relaxation, computed with PBE.

a b c (Å): 10.5444 10.5444 10.5444
angles (deg): 50.31 50.31 50.31
Fractional positions:
Cs: 0.0000 0.5000 0.5000
Cs: 0.5000 0.0000 0.5000
Cs: 0.5000 0.5000 0.0000
Pa: 0.0000 0.0000 0.5000
Pa: 0.0000 0.5000 0.0000
Pa: 0.5000 0.0000 0.0000
Sb: 0.5000 0.5000 0.5000
Te: 0.2292 0.7303 0.7303
Te: 0.2314 0.2314 0.2314
Te: 0.2697 0.2697 0.7708
Te: 0.2697 0.7708 0.2697
Te: 0.7303 0.2292 0.7303
Te: 0.7303 0.7303 0.2292
Te: 0.7686 0.7686 0.7686
Te: 0.7708 0.2697 0.2697

Calculated values
The crystal system is trigonal. The value obtained for the uncorrected formation energy is -800 meV/atom. For the raw total energy, the calculation gives -4.821 eV per atom. As for the space-group type: R-3m, No. 166.

---

Cs3Sc2PaSe6 after structural relaxation, computed with PBE.

a b c (Å): 7.1558 7.1558 8.7049
angles (deg): 97.88 97.88 120.00
Fractional positions:
Cs: 0.0000 0.0000 0.0000
Cs: 0.3338 0.6662 0.0000
Cs: 0.6662 0.3338 0.0000
Sc: 0.1667 0.8333 0.5000
Sc: 0.8333 0.1667 0.5000
Pa: 0.5000 0.5000 0.5000
Se: 0.0975 0.4395 0.3185
Se: 0.2185 0.2185 0.6813
Se: 0.4395 0.0975 0.3185
Se: 0.5605 0.9025 0.6815
Se: 0.7815 0.7815 0.3187
Se: 0.9025 0.5605 0.6815

Calculated values
The crystal system is monoclinic. The value obtained for the uncorrected formation energy is -1467 meV/atom. For the raw total energy, the calculation gives -5.269 eV per atom. As for the space-group type: C2/m, No. 12.

---

Cs2Sc2PaSe6 after structural relaxation, computed with PBE.

a b c (Å): 7.0090 7.0090 8.8909
angles (deg): 97.50 97.50 120.26
Fractional positions:
Cs: 0.1657 0.8343 0.0000
Cs: 0.8343 0.1657 0.0000
Sc: 0.3330 0.6670 0.5000
Sc: 0.6670 0.3330 0.5000
Pa: 0.0000 0.0000 0.5000
Se: 0.0601 0.4011 0.6782
Se: 0.2841 0.2841 0.3215
Se: 0.4011 0.0601 0.6782
Se: 0.5989 0.9399 0.3218
Se: 0.7159 0.7159 0.6785
Se: 0.9399 0.5989 0.3218

Calculated values
The crystal system is monoclinic. The value obtained for the uncorrected formation energy is -1567 meV/atom. For the raw total energy, the calculation gives -5.637 eV per atom. As for the space-group type: C2/m, No. 12.

---

Cs2ScPaSe4 after structural relaxation, computed with PBE.

a b c (Å): 7.1841 4.1544 8.7565
angles (deg): 90.00 105.76 90.00
Fractional positions:
Cs: 0.0000 0.0000 0.0000
Cs: 0.5000 0.5000 0.0000
Sc: 0.0000 0.5000 0.5000
Pa: 0.5000 0.0000 0.5000
Se: 0.2187 0.0000 0.6806
Se: 0.2603 0.5000 0.3122
Se: 0.7397 0.5000 0.6878
Se: 0.7813 0.0000 0.3194

Calculated values
The crystal system is monoclinic. The value obtained for the uncorrected formation energy is -1416 meV/atom. For the raw total energy, the calculation gives -5.350 eV per atom. As for the space-group type: P2/m, No. 10.

---

Cs3Sc3PaTe8 after structural relaxation, computed with PBE.

a b c (Å): 10.3238 10.3238 10.3238
angles (deg): 49.59 49.59 49.59
Fractional positions:
Cs: 0.0000 0.5000 0.5000
Cs: 0.5000 0.0000 0.5000
Cs: 0.5000 0.5000 0.0000
Sc: 0.0000 0.0000 0.5000
Sc: 0.0000 0.5000 0.0000
Sc: 0.5000 0.0000 0.0000
Pa: 0.5000 0.5000 0.5000
Te: 0.2158 0.7348 0.7348
Te: 0.2265 0.2265 0.2265
Te: 0.2652 0.2652 0.7842
Te: 0.2652 0.7842 0.2652
Te: 0.7348 0.2158 0.7348
Te: 0.7348 0.7348 0.2158
Te: 0.7735 0.7735 0.7735
Te: 0.7842 0.2652 0.2652

Calculated values
The crystal system is trigonal. The value obtained for the uncorrected formation energy is -1173 meV/atom. For the raw total energy, the calculation gives -4.919 eV per atom. As for the space-group type: R-3m, No. 166.

---

Cs2ScPaTe4 after structural relaxation, computed with PBE.

a b c (Å): 7.6758 4.4226 9.3560
angles (deg): 90.00 105.72 90.00
Fractional positions:
Cs: 0.0000 0.0000 0.0000
Cs: 0.5000 0.5000 0.0000
Sc: 0.0000 0.5000 0.5000
Pa: 0.5000 0.0000 0.5000
Te: 0.2187 0.0000 0.6848
Te: 0.2582 0.5000 0.3077
Te: 0.7418 0.5000 0.6923
Te: 0.7813 0.0000 0.3152

Calculated values
The crystal system is monoclinic. The value obtained for the uncorrected formation energy is -1060 meV/atom. For the raw total energy, the calculation gives -4.823 eV per atom. As for the space-group type: P2/m, No. 10.

---

Cs4Sc3PaTe8 after structural relaxation, computed with PBE.

a b c (Å): 10.2679 10.2679 10.2679
angles (deg): 50.78 50.78 50.78
Fractional positions:
Cs: 0.0000 0.0000 0.0000
Cs: 0.0000 0.5000 0.5000
Cs: 0.5000 0.0000 0.5000
Cs: 0.5000 0.5000 0.0000
Sc: 0.0000 0.0000 0.5000
Sc: 0.0000 0.5000 0.0000
Sc: 0.5000 0.0000 0.0000
Pa: 0.5000 0.5000 0.5000
Te: 0.2189 0.7338 0.7338
Te: 0.2264 0.2264 0.2264
Te: 0.2662 0.2662 0.7811
Te: 0.2662 0.7811 0.2662
Te: 0.7338 0.2189 0.7338
Te: 0.7338 0.7338 0.2189
Te: 0.7736 0.7736 0.7736
Te: 0.7811 0.2662 0.2662

Calculated values
The crystal system is trigonal. The value obtained for the uncorrected formation energy is -1144 meV/atom. For the raw total energy, the calculation gives -4.708 eV per atom. As for the space-group type: R-3m, No. 166.

---

Cs2Sc2PaTe6 after structural relaxation, computed with PBE.

a b c (Å): 7.4793 7.4793 9.5000
angles (deg): 97.36 97.36 120.20
Fractional positions:
Cs: 0.1638 0.8362 0.0000
Cs: 0.8362 0.1638 0.0000
Sc: 0.3325 0.6675 0.5000
Sc: 0.6675 0.3325 0.5000
Pa: 0.0000 0.0000 0.5000
Te: 0.0620 0.4033 0.6839
Te: 0.2858 0.2858 0.3164
Te: 0.4033 0.0620 0.6839
Te: 0.5967 0.9380 0.3161
Te: 0.7142 0.7142 0.6836
Te: 0.9380 0.5967 0.3161

Calculated values
The crystal system is monoclinic. The value obtained for the uncorrected formation energy is -1155 meV/atom. For the raw total energy, the calculation gives -5.038 eV per atom. As for the space-group type: C2/m, No. 12.

---

Cs2Pa3Se8 after structural relaxation, computed with PBE.

a b c (Å): 9.8985 4.3417 11.8307
angles (deg): 90.00 112.93 90.00
Fractional positions:
Cs: 0.0266 0.0000 0.2625
Cs: 0.9734 0.0000 0.7375
Pa: 0.4257 0.5000 0.6544
Pa: 0.5000 0.0000 0.0000
Pa: 0.5743 0.5000 0.3456
Se: 0.2323 0.0000 0.5954
Se: 0.3187 0.5000 0.8686
Se: 0.3248 0.5000 0.3966
Se: 0.3893 0.0000 0.1825
Se: 0.6107 0.0000 0.8175
Se: 0.6752 0.5000 0.6034
Se: 0.6813 0.5000 0.1314
Se: 0.7677 0.0000 0.4046

Calculated values
The crystal system is monoclinic. The value obtained for the uncorrected formation energy is -1364 meV/atom. For the raw total energy, the calculation gives -5.831 eV per atom. The energy above the lowest structure with this stoichiometry is 0.037 eV/atom. As for the space-group type: P2/m, No. 10.

---

Cs2Pa2Se5 after structural relaxation, computed with PBE.

a b c (Å): 8.3158 8.3158 8.8784
angles (deg): 104.46 104.46 39.85
Fractional positions:
Cs: 0.1017 0.1017 0.3363
Cs: 0.8983 0.8983 0.6637
Pa: 0.3434 0.3434 0.0968
Pa: 0.6566 0.6566 0.9032
Se: 0.1608 0.1608 0.9356
Se: 0.3563 0.3563 0.3963
Se: 0.5000 0.5000 0.0000
Se: 0.6437 0.6437 0.6037
Se: 0.8392 0.8392 0.0644

Calculated values
The crystal system is monoclinic. The value obtained for the uncorrected formation energy is -1226 meV/atom. For the raw total energy, the calculation gives -5.461 eV per atom. The energy above the lowest structure with this stoichiometry is 0.180 eV/atom. As for the space-group type: C2/m, No. 12.

---

CsPa3Se9 after structural relaxation, computed with PBE.

a b c (Å): 10.5026 10.5026 5.4814
angles (deg): 90.00 90.00 120.00
Fractional positions:
Cs: 0.0000 0.0000 0.0000
Pa: 0.0000 0.5000 0.5000
Pa: 0.5000 0.0000 0.5000
Pa: 0.5000 0.5000 0.5000
Se: 0.0000 0.5000 0.0000
Se: 0.2044 0.4088 0.5000
Se: 0.2044 0.7956 0.5000
Se: 0.4088 0.2044 0.5000
Se: 0.5000 0.0000 0.0000
Se: 0.5000 0.5000 0.0000
Se: 0.5912 0.7956 0.5000
Se: 0.7956 0.2044 0.5000
Se: 0.7956 0.5912 0.5000

Calculated values
The crystal system is hexagonal. The value obtained for the uncorrected formation energy is -1070 meV/atom. For the raw total energy, the calculation gives -5.739 eV per atom. As for the space-group type: P6/mmm, No. 191.

---

CsPa6Se12 after structural relaxation, computed with PBE.

a b c (Å): 8.5927 8.5927 8.5927
angles (deg): 105.68 105.68 105.68
Fractional positions:
Cs: 0.0000 0.0000 0.0000
Pa: 0.2596 0.2596 0.6623
Pa: 0.2596 0.6623 0.2596
Pa: 0.3377 0.7404 0.7404
Pa: 0.6623 0.2596 0.2596
Pa: 0.7404 0.3377 0.7404
Pa: 0.7404 0.7404 0.3377
Se: 0.1277 0.5000 0.8723
Se: 0.1277 0.8723 0.5000
Se: 0.1733 0.4328 0.4328
Se: 0.4328 0.1733 0.4328
Se: 0.4328 0.4328 0.1733
Se: 0.5000 0.1277 0.8723
Se: 0.5000 0.8723 0.1277
Se: 0.5672 0.5672 0.8267
Se: 0.5672 0.8267 0.5672
Se: 0.8267 0.5672 0.5672
Se: 0.8723 0.1277 0.5000
Se: 0.8723 0.5000 0.1277

Calculated values
The crystal system is trigonal. The value obtained for the uncorrected formation energy is -1239 meV/atom. For the raw total energy, the calculation gives -6.484 eV per atom. As for the space-group type: R-3m, No. 166.

---

CsPaSe2 after structural relaxation, computed with PBE.

a b c (Å): 3.6737 3.6737 8.5373
angles (deg): 90.00 90.00 90.00
Fractional positions:
Cs: 0.0000 0.0000 0.0000
Pa: 0.0000 0.0000 0.5000
Se: 0.5000 0.5000 0.3071
Se: 0.5000 0.5000 0.6929

Calculated values
The crystal system is tetragonal. The value obtained for the uncorrected formation energy is -1220 meV/atom. For the raw total energy, the calculation gives -5.550 eV per atom. As for the space-group type: P4/mmm, No. 123.